# MgAlW

MgAlW after structural relaxation (PBE, the Alexandria database).

a = 5.1500 Å, b = 5.1500 Å, c = 5.1500 Å
α = 148.04°, β = 135.90°, γ = 55.48°
Closest atoms and distances in Å follow each position.
Fractional coordinates of all 3 atoms:
1 Mg 0.0000 0.0000 0.0000  2 Mg 2.84, 5 Al 2.89-2.95, 5 W 2.89-2.95
2 Al 0.3239 0.3239 0.0000  4 W 2.75, 2 Al 2.84, 5 Mg 2.89-2.95
3 W 0.6766 0.6766 0.0000  4 Al 2.75, 2 W 2.84, 5 Mg 2.89-2.95

Output
* ΔE to the lowest computed polymorph: 108 meV per atom
* SG: Imm2, No. 44
* calculated volume: 16.66 Å³/atom
* crystal system: orthorhombic
* density: 7.814 g/cm³
* energy relative to the elements: 27.6 kJ/mol of atoms

# ThSe2

ThSe2 after structural relaxation (PBE, the Alexandria database).

a = 4.9489 Å, b = 4.9489 Å, c = 4.9489 Å
α = 60.00°, β = 60.00°, γ = 60.00°
Closest atoms and distances in Å follow each position.
Fractional coordinates of all 3 atoms:
1 Th 0.0000 0.0000 0.0000  8 Se 3.03
2 Se 0.2500 0.2500 0.2500  4 Th 3.03
3 Se 0.7500 0.7500 0.7500  4 Th 3.03

Output
* SG: Fm-3m, No. 225
* E_tot: -6.54 eV/atom
* calculated volume: 28.57 Å³/atom
* crystal system: cubic
* density: 7.555 g/cm³

# Dy2TePd

Dy2TePd after structural relaxation (PBE, the Alexandria database).

a = 7.7372 Å, b = 7.7372 Å, c = 7.7372 Å
α = 30.96°, β = 30.96°, γ = 30.96°
Closest atoms and distances in Å follow each position.
Fractional coordinates of all 4 atoms:
1 Dy 0.2385 0.2385 0.2385  3 Pd 2.86, 3 Te 3.17
2 Dy 0.7615 0.7615 0.7615  3 Pd 2.86, 3 Te 3.17
3 Te 0.0000 0.0000 0.0000  6 Dy 3.17
4 Pd 0.5000 0.5000 0.5000  6 Dy 2.86

Output
* ΔE to the lowest computed polymorph: 28 meV per atom
* SG: R-3m, No. 166
* calculated volume: 27.18 Å³/atom
* crystal system: trigonal
* density: 8.538 g/cm³

# LuThGaRu

LuThGaRu after structural relaxation (PBE, the Alexandria database).

a = 4.9990 Å, b = 4.9990 Å, c = 4.9990 Å
α = 60.00°, β = 60.00°, γ = 60.00°
Closest atoms and distances in Å follow each position.
Fractional coordinates of all 4 atoms:
1 Lu 0.0000 0.0000 0.0000  4 Ru 3.06, 4 Ga 3.06
2 Th 0.5000 0.5000 0.5000  4 Ga 3.06, 4 Ru 3.06
3 Ga 0.7500 0.7500 0.7500  4 Th 3.06, 4 Lu 3.06
4 Ru 0.2500 0.2500 0.2500  4 Th 3.06, 4 Lu 3.06

Output
* SG: F-43m, No. 216
* calculated volume: 22.08 Å³/atom
* crystal system: cubic
* density: 10.862 g/cm³
* energy relative to the elements: -39.5 kJ/mol of atoms

# Rb2LiAlF6

Rb2LiAlF6 after structural relaxation (PBE, the Alexandria database).

a = 5.8066 Å, b = 5.8066 Å, c = 5.8066 Å
α = 60.00°, β = 60.00°, γ = 60.00°
Closest atoms and distances in Å follow each position.
Fractional coordinates of all 10 atoms:
1 Rb 0.2500 0.2500 0.2500  12 F 2.91
2 Rb 0.7500 0.7500 0.7500  12 F 2.91
3 Li 0.0000 0.0000 0.0000  6 F 2.25
4 Al 0.5000 0.5000 0.5000  6 F 1.86
5 F 0.2737 0.2737 0.7263  1 Al 1.86
6 F 0.2737 0.7263 0.2737  1 Al 1.86
7 F 0.2737 0.7263 0.7263  1 Al 1.86
8 F 0.7263 0.2737 0.2737  1 Al 1.86
9 F 0.7263 0.2737 0.7263  1 Al 1.86
10 F 0.7263 0.7263 0.2737  1 Al 1.86

Output
* SG: Fm-3m, No. 225
* E_tot: -5.06 eV/atom
* calculated volume: 13.84 Å³/atom
* crystal system: cubic
* density: 3.825 g/cm³

# Zr3Rh2

Zr3Rh2 after structural relaxation (PBE, the Alexandria database).

a = 4.5493 Å, b = 4.5493 Å, c = 5.7434 Å
α = 90.00°, β = 90.00°, γ = 120.00°
Closest atoms and distances in Å follow each position.
Fractional coordinates of all 5 atoms:
1 Zr 0.0000 0.0000 0.0000  6 Rh 2.81
2 Zr 0.3333 0.6667 0.3404  5 Rh 2.79-2.95
3 Zr 0.6667 0.3333 0.6596  5 Rh 2.79-2.95
4 Rh 0.3333 0.6667 0.8260  8 Zr 2.79-2.95
5 Rh 0.6667 0.3333 0.1740  8 Zr 2.79-2.95

Output
* ΔE to the lowest computed polymorph: 86 meV per atom
* SG: P-3m1, No. 164
* calculated volume: 20.59 Å³/atom
* crystal system: trigonal
* density: 7.735 g/cm³
* energy relative to the elements: -52.1 kJ/mol of atoms

# SrRhO3

SrRhO3 after structural relaxation (PBE, the Alexandria database).

a = 4.0034 Å, b = 4.0034 Å, c = 4.0034 Å
α = 90.00°, β = 90.00°, γ = 90.00°
Closest atoms and distances in Å follow each position.
Fractional coordinates of all 5 atoms:
1 Sr 0.0000 0.0000 0.0000  12 O 2.83
2 Rh 0.5000 0.5000 0.5000  6 O 2.00
3 O 0.0000 0.5000 0.5000  2 Rh 2.00
4 O 0.5000 0.0000 0.5000  2 Rh 2.00
5 O 0.5000 0.5000 0.0000  2 Rh 2.00

Output
* SG: Pm-3m, No. 221
* E_tot: -6.29 eV/atom
* calculated volume: 12.83 Å³/atom
* crystal system: cubic
* density: 6.173 g/cm³

# KTe3As

KTe3As after structural relaxation (PBE, the Alexandria database).

a = 6.5412 Å, b = 6.4086 Å, c = 9.4170 Å
α = 90.00°, β = 93.88°, γ = 90.00°
Closest atoms and distances in Å follow each position.
Fractional coordinates of all 10 atoms:
1 K 0.1363 0.2500 0.3366  7 Te 3.53-3.78
2 K 0.8637 0.7500 0.6634  7 Te 3.53-3.78
3 Te 0.0192 0.7500 0.0299  1 As 2.66
4 Te 0.3676 0.9997 0.6740  1 As 2.65
5 Te 0.3676 0.5003 0.6740  1 As 2.65
6 Te 0.6324 0.0003 0.3260  1 As 2.65
7 Te 0.6324 0.4997 0.3260  1 As 2.65
8 Te 0.9808 0.2500 0.9701  1 As 2.66
9 As 0.3660 0.2500 0.8973  3 Te 2.65-2.66
10 As 0.6340 0.7500 0.1027  3 Te 2.65-2.66

Output
* ΔE to the lowest computed polymorph: 29 meV per atom
* SG: P2_1/m, No. 11
* calculated volume: 39.39 Å³/atom
* crystal system: monoclinic
* density: 4.189 g/cm³

# Sc2In8Pd

Sc2In8Pd after structural relaxation (PBE, the Alexandria database).

a = 4.6045 Å, b = 4.6045 Å, c = 11.8844 Å
α = 90.00°, β = 90.00°, γ = 90.00°
Closest atoms and distances in Å follow each position.
Fractional coordinates of all 11 atoms:
1 Sc 0.0000 0.0000 0.1859  12 In 3.16-3.26
2 Sc 0.0000 0.0000 0.8141  12 In 3.16-3.26
3 In 0.0000 0.5000 0.0000  4 Sc 3.19, 8 In 3.21-3.26
4 In 0.0000 0.5000 0.3684  2 Pd 2.78
5 In 0.0000 0.5000 0.6316  2 Pd 2.78
6 In 0.5000 0.0000 0.0000  4 Sc 3.19, 8 In 3.21-3.26
7 In 0.5000 0.0000 0.3684  2 Pd 2.78
8 In 0.5000 0.0000 0.6316  2 Pd 2.78
9 In 0.5000 0.5000 0.1886  8 In 3.14-3.21, 4 Sc 3.26
10 In 0.5000 0.5000 0.8114  8 In 3.14-3.21, 4 Sc 3.26
11 Pd 0.0000 0.0000 0.5000  8 In 2.78

Output
* SG: P4/mmm, No. 123
* calculated volume: 22.91 Å³/atom
* crystal system: tetragonal
* density: 7.347 g/cm³
* energy relative to the elements: -30.6 kJ/mol of atoms

# La2YH

La2YH after structural relaxation (PBE, the Alexandria database).

a = 9.2348 Å, b = 9.2348 Å, c = 9.2348 Å
α = 23.23°, β = 23.23°, γ = 23.23°
Closest atoms and distances in Å follow each position.
Fractional coordinates of all 4 atoms:
1 La 0.0000 0.0000 0.0000  3 H 2.64
2 La 0.2213 0.2213 0.2213  3 H 2.61
3 Y 0.7759 0.7759 0.7759  6 La 3.64-3.71, 6 Y 3.72
4 H 0.6094 0.6094 0.6094  6 La 2.61-2.64

Output
* ΔE to the lowest computed polymorph: 0 meV per atom
* SG: R3m, No. 160
* calculated volume: 26.90 Å³/atom
* crystal system: trigonal
* density: 5.675 g/cm³

# Tb3Sm2Y2

Tb3Sm2Y2 after structural relaxation (PBE, the Alexandria database).

a = 6.1965 Å, b = 6.1965 Å, c = 10.7668 Å
α = 95.54°, β = 95.54°, γ = 33.61°
Closest atoms and distances in Å follow each position.
Fractional coordinates of all 7 atoms:
1 Tb 0.0000 0.0000 0.0000  6 Sm 3.58, 2 Tb 3.58, 4 Y 3.60
2 Tb 0.1435 0.1435 0.5713  5 Tb 3.57-3.59, 5 Y 3.57-3.58, 2 Sm 3.58
3 Tb 0.8565 0.8565 0.4287  5 Tb 3.57-3.59, 5 Y 3.57-3.58, 2 Sm 3.58
4 Sm 0.2862 0.2862 0.1430  3 Y 3.58-3.60, 5 Tb 3.58, 4 Sm 3.58-3.59
5 Sm 0.7138 0.7138 0.8570  3 Y 3.58-3.60, 5 Tb 3.58, 4 Sm 3.58-3.59
6 Y 0.4289 0.4289 0.7125  7 Tb 3.57-3.60, 3 Sm 3.58-3.60, 2 Y 3.58
7 Y 0.5711 0.5711 0.2875  7 Tb 3.57-3.60, 3 Sm 3.58-3.60, 2 Y 3.58

Output
* ΔE to the lowest computed polymorph: 0 meV per atom
* SG: C2/m, No. 12
* calculated volume: 32.52 Å³/atom
* crystal system: monoclinic
* density: 6.968 g/cm³
* energy relative to the elements: 1.6 kJ/mol of atoms

# La2TaMo

La2TaMo after structural relaxation (PBE, the Alexandria database).

a = 6.5329 Å, b = 6.5329 Å, c = 6.5329 Å
α = 101.54°, β = 101.54°, γ = 126.86°
Closest atoms and distances in Å follow each position.
Fractional coordinates of all 8 atoms:
1 La 0.1029 0.6250 0.9779  2 Mo 2.89, 2 La 2.94, 2 Ta 3.14
2 La 0.3750 0.3529 0.4779  2 Mo 2.89, 2 La 2.94, 2 Ta 3.14
3 La 0.6471 0.1250 0.0221  2 Mo 2.89, 2 La 2.94, 2 Ta 3.14
4 La 0.8750 0.8971 0.5221  2 Mo 2.89, 2 La 2.94, 2 Ta 3.14
5 Ta 0.2500 0.7500 0.5000  2 Mo 2.92, 4 La 3.14
6 Ta 0.5000 0.5000 0.0000  2 Mo 2.92, 4 La 3.14
7 Mo 0.0000 0.0000 0.0000  4 La 2.89, 2 Ta 2.92
8 Mo 0.7500 0.2500 0.5000  4 La 2.89, 2 Ta 2.92

Output
* ΔE to the lowest computed polymorph: 821 meV per atom
* SG: I-42d, No. 122
* calculated volume: 24.94 Å³/atom
* crystal system: tetragonal
* density: 9.233 g/cm³
* energy relative to the elements: 101.7 kJ/mol of atoms